Compound: Mn2Fe2O5
Source: Alexandria
Functional: PBE+U
Structure: relaxed

Summary:
The density of states at the Fermi level comes out at 2.9 states/eV/cell. The total energy is -249.6 eV/cell. The value obtained for the magnetization is 16.00 μB per formula unit.

Cell lengths 9.9439, 6.9663, 5.6296 Å; angles 90.00, 90.00, 90.00 degrees
With the nearest neighbours (Å) after each atom.
Space group Cmce (No. 64)
Asymmetric unit:
Mn: 0.0000 0.2247 0.1682 (multiplicity 8)  5 O 1.99-2.14
Fe: 0.2116 0.0000 0.5000 (multiplicity 8)  3 O 2.08-2.10
O: 0.0000 0.0000 0.5000 (multiplicity 4)  2 Fe 2.10, 2 Mn 2.14
O: 0.1345 0.1877 0.9074 (multiplicity 16)  2 Mn 1.99-2.00, 1 Fe 2.08